# 1
The following is a GGA-PBE calculation of crystalline Ba3Ga6Pd5 at its relaxed geometry, from the Alexandria database.

Values from the calculation:
ΔH_f (0 K) in meV/atom: -592
Size of the total moment in μB per cell: 0.00
SG: Pmmn (59)
Total energy in Ry per atom: -0.30546

Unit cell a=4.402 b=13.124 c=11.082 alpha=90.00 beta=90.00 gamma=90.00
Positions (direct):
Ba 0.250 0.093 0.248
Ba 0.250 0.407 0.248
Ba 0.250 0.750 0.241
Ba 0.750 0.250 0.759
Ba 0.750 0.593 0.752
Ba 0.750 0.907 0.752
Ga 0.250 0.056 0.915
Ga 0.250 0.250 0.008
Ga 0.250 0.250 0.520
Ga 0.250 0.444 0.915
Ga 0.250 0.575 0.490
Ga 0.250 0.925 0.490
Ga 0.750 0.075 0.510
Ga 0.750 0.425 0.510
Ga 0.750 0.556 0.085
Ga 0.750 0.750 0.480
Ga 0.750 0.750 0.992
Ga 0.750 0.944 0.085
Pd 0.250 0.077 0.641
Pd 0.250 0.423 0.641
Pd 0.250 0.638 0.981
Pd 0.250 0.750 0.591
Pd 0.250 0.862 0.981
Pd 0.750 0.138 0.019
Pd 0.750 0.250 0.409
Pd 0.750 0.362 0.019
Pd 0.750 0.577 0.359
Pd 0.750 0.923 0.359


# 2
The following is a GGA-PBE calculation of crystalline YBe2Si at its relaxed geometry, from the Alexandria database.

Values from the calculation:
Size of the total moment in μB per cell: 0.00
SG: R-3m (166)
Total energy in Ry per atom: -0.37382
ΔE_f (raw) in eV per atom: -0.25

Unit cell a=5.327 b=5.327 c=5.327 alpha=41.61 beta=41.61 gamma=41.61
Positions (direct):
Y 0.000 0.000 0.000
Be 0.201 0.201 0.201
Be 0.799 0.799 0.799
Si 0.500 0.500 0.500


# 3
The following is a GGA-PBE calculation of crystalline YCuOs3 at its relaxed geometry, from the Alexandria database.

Values from the calculation:
ΔH_f (0 K) in meV/atom: 1313
Size of the total moment in μB per cell: 0.00
SG: Pm-3m (221)
Total energy in Ry per atom: -0.55396

Unit cell a=4.529 b=4.529 c=4.529 alpha=90.00 beta=90.00 gamma=90.00
Positions (direct):
Y 0.000 0.000 0.000
Cu 0.500 0.500 0.500
Os 0.000 0.500 0.500
Os 0.500 0.000 0.500
Os 0.500 0.500 0.000


# 4
The following is a GGA-PBE calculation of crystalline NdHoTmGa at its relaxed geometry, from the Alexandria database.

Values from the calculation:
ΔH_f (0 K) in meV/atom: -97
Size of the total moment in μB per cell: 0.57
SG: F-43m (216)
Total energy in Ry per atom: -0.31663

Unit cell a=5.348 b=5.348 c=5.348 alpha=60.00 beta=60.00 gamma=60.00
Positions (direct):
Nd 0.000 0.000 0.000
Ho 0.500 0.500 0.500
Tm 0.250 0.250 0.250
Ga 0.750 0.750 0.750


# 5
The following is a GGA-PBE calculation of crystalline Co2W at its relaxed geometry, from the Alexandria database.

Values from the calculation:
ΔH_f (0 K) in meV/atom: 15
Size of the total moment in μB per cell: 0.06
SG: Cmcm (63)
Total energy in Ry per atom: -0.66444

Unit cell a=6.793 b=6.793 c=4.150 alpha=90.00 beta=90.00 gamma=157.45
Positions (direct):
Co 0.057 0.943 0.750
Co 0.277 0.723 0.250
Co 0.723 0.277 0.750
Co 0.943 0.057 0.250
W 0.389 0.611 0.750
W 0.611 0.389 0.250


# 6
The following is a GGA-PBE calculation of crystalline NbTcIr at its relaxed geometry, from the Alexandria database.

Values from the calculation:
ΔH_f (0 K) in meV/atom: -114
Size of the total moment in μB per cell: 0.00
SG: Immm (71)
Total energy in Ry per atom: -0.72616

Unit cell a=5.246 b=5.246 c=5.246 alpha=129.75 beta=117.18 gamma=84.48
Positions (direct):
Nb 0.174 0.174 0.000
Nb 0.826 0.826 0.000
Tc 0.340 0.840 0.500
Tc 0.660 0.160 0.500
Ir 0.254 0.500 0.754
Ir 0.746 0.500 0.246


# 7
The following is a GGA-PBE calculation of crystalline MgAsHRh2 at its relaxed geometry, from the Alexandria database.

Values from the calculation:
Size of the total moment in μB per cell: 0.00
SG: P4/mmm (123)
Total energy in Ry per atom: -0.24266

Unit cell a=4.619 b=4.619 c=4.675 alpha=90.00 beta=90.00 gamma=90.00
Positions (direct):
Mg 0.000 0.000 0.000
As 0.000 0.000 0.500
H 0.500 0.500 0.500
Rh 0.000 0.500 0.000
Rh 0.500 0.000 0.000


# 8
The following is a GGA-PBE calculation of crystalline PaTaBe4 at its relaxed geometry, from the Alexandria database.

Values from the calculation:
ΔH_f (0 K) in meV/atom: 114
Size of the total moment in μB per cell: 0.01
SG: F-43m (216)
Total energy in Ry per atom: -0.43570

Unit cell a=4.831 b=4.831 c=4.831 alpha=60.00 beta=60.00 gamma=60.00
Positions (direct):
Pa 0.000 0.000 0.000
Ta 0.250 0.250 0.250
Be 0.127 0.624 0.624
Be 0.624 0.127 0.624
Be 0.624 0.624 0.127
Be 0.624 0.624 0.624


# 9
The following is a GGA-PBE calculation of crystalline CuNi2Cl6 at its relaxed geometry, from the Alexandria database.

Values from the calculation:
Size of the total moment in μB per cell: 4.71
SG: C2/m (12)
Total energy in Ry per atom: -0.25788
ΔE_f (raw) in eV per atom: -0.54

Unit cell a=6.934 b=6.934 c=9.633 alpha=111.97 beta=111.97 gamma=28.66
Positions (direct):
Cu 0.000 0.000 0.000
Ni 0.338 0.338 0.660
Ni 0.662 0.662 0.340
Cl 0.034 0.034 0.299
Cl 0.294 0.294 0.390
Cl 0.369 0.369 0.926
Cl 0.631 0.631 0.074
Cl 0.706 0.706 0.610
Cl 0.966 0.966 0.701


# 10
The following is a GGA-PBE calculation of crystalline GeIF at its relaxed geometry, from the Alexandria database.

Values from the calculation:
Size of the total moment in μB per cell: 0.00
SG: P1 (1)
Total energy in Ry per atom: -0.28143
ΔE_f (raw) in eV per atom: -1.15

Unit cell a=4.697 b=6.255 c=6.553 alpha=110.08 beta=91.35 gamma=92.44
Positions (direct):
Ge 0.000 0.000 0.000
Ge 0.244 0.758 0.475
I 0.325 0.191 0.422
I 0.918 0.567 0.055
F 0.352 0.941 0.864
F 0.893 0.817 0.614


# 11
The following is a GGA-PBE calculation of crystalline K3Pa3GaTe8 at its relaxed geometry, from the Alexandria database.

Values from the calculation:
Size of the total moment in μB per cell: 3.01
SG: R-3m (166)
Total energy in Ry per atom: -0.35677
ΔE_f (raw) in eV per atom: -0.86

Unit cell a=9.752 b=9.752 c=9.752 alpha=55.22 beta=55.22 gamma=55.22
Positions (direct):
K 0.000 0.500 0.500
K 0.500 0.000 0.500
K 0.500 0.500 0.000
Pa 0.000 0.000 0.500
Pa 0.000 0.500 0.000
Pa 0.500 0.000 0.000
Ga 0.500 0.500 0.500
Te 0.223 0.740 0.740
Te 0.238 0.238 0.238
Te 0.260 0.260 0.777
Te 0.260 0.777 0.260
Te 0.740 0.223 0.740
Te 0.740 0.740 0.223
Te 0.762 0.762 0.762
Te 0.777 0.260 0.260


# 12
The following is a GGA-PBE calculation of crystalline LiPrErRu at its relaxed geometry, from the Alexandria database.

Values from the calculation:
ΔH_f (0 K) in meV/atom: -199
Size of the total moment in μB per cell: 0.00
SG: F-43m (216)
Total energy in Ry per atom: -0.39192

Unit cell a=4.991 b=4.991 c=4.991 alpha=60.00 beta=60.00 gamma=60.00
Positions (direct):
Li 0.000 0.000 0.000
Pr 0.750 0.750 0.750
Er 0.250 0.250 0.250
Ru 0.500 0.500 0.500